Entry from Alexandria: a geometry-optimized LiCeInNi structure (PBE).

Results
- uncorrected energy (Ha/atom) = -0.1620
- size of the total moment (μB per formula unit) = 0.1
- E_form (eV per atom) = -0.316
- crystal system = cubic

```
data_LiCeInNi
_chemical_formula_sum 'Li4 Ce4 In4 Ni4'
_symmetry_space_group_name_H-M 'F -4 3 m'
_symmetry_Int_Tables_number 216
_symmetry_space_group_name_Hall 'F -4 2 3'
_cell_length_a 6.679
_cell_length_b 6.679
_cell_length_c 6.679
_cell_angle_alpha 90.00
_cell_angle_beta 90.00
_cell_angle_gamma 90.00
loop_
_atom_site_label
_atom_site_fract_x
_atom_site_fract_y
_atom_site_fract_z
Li1 0.000 0.000 0.000
Ce1 0.250 0.250 0.250
In1 0.250 0.250 0.750
Ni1 0.000 0.000 0.500
```

***

Entry from Alexandria: a geometry-optimized Li2CeInO4 structure (PBE).

Results
- uncorrected energy (Ha/atom) = -0.2286
- size of the total moment (μB per formula unit) = 0.5
- crystal system = tetragonal
- ΔE_f (raw) (eV/atom) = -2.179

```
data_Li2CeInO4
_chemical_formula_sum 'Li4 Ce2 In2 O8'
_symmetry_space_group_name_H-M 'I -4 m 2'
_symmetry_Int_Tables_number 119
_symmetry_space_group_name_Hall 'I -4 -2'
_cell_length_a 4.562
_cell_length_b 4.562
_cell_length_c 9.985
_cell_angle_alpha 90.00
_cell_angle_beta 90.00
_cell_angle_gamma 90.00
loop_
_atom_site_label
_atom_site_fract_x
_atom_site_fract_y
_atom_site_fract_z
Li1 0.000 0.000 0.000
Li2 0.000 0.500 0.250
Ce1 0.000 0.500 0.750
In1 0.000 0.000 0.500
O1 0.000 0.000 0.260
O2 0.000 0.500 0.511
```